DFT (SCAN) results for a PBEsol-optimized structure of ScOs2W.

Summary:
mass density = 16.43 g/cm3
total DFT energy (no corrections) = -56.9984 eV/atom
total magnetic moment = 0.00 μB/atom

abc: 3.0953 4.3871 5.2692
angles: 114.60 107.08 90.00
Sites, in units of the cell vectors:
1 Os 0.9929 0.9929 0.9857
2 Os 0.7511 0.2511 0.5021
3 Sc 0.5003 0.5003 0.0006
4 W 0.2558 0.7558 0.5115


DFT (SCAN) results for a PBEsol-optimized structure of ScOs2W.

Summary:
mass density = 16.44 g/cm3
total DFT energy (no corrections) = -56.8412 eV/atom
total magnetic moment = 0.00 μB/atom

abc: 2.7542 2.7542 8.7618
angles: 90.00 90.00 112.21
Sites, in units of the cell vectors:
1 W 0.5000 0.5000 0.0000
2 Os 0.0000 0.0000 0.2458
3 Os 0.0000 0.0000 0.7542
4 Sc 0.5000 0.5000 0.5000


DFT (SCAN) results for a PBEsol-optimized structure of ScOs3W.

Summary:
mass density = 15.04 g/cm3
total DFT energy (no corrections) = -57.3421 eV/atom
total magnetic moment = 0.10 μB/atom

abc: 4.4526 4.4526 4.4526
angles: 90.00 90.00 90.00
Sites, in units of the cell vectors:
1 Os 0.0000 0.0000 0.5000
2 Os 0.5000 0.0000 0.0000
3 Os 0.0000 0.5000 0.0000
4 W 0.5000 0.5000 0.5000
5 Sc 0.0000 0.0000 0.0000